A geometry-optimized Sm3ErBi3 structure, computed with PBE.

As for the energy above the most stable polymorph in this dataset: 0.083 eV per atom. The energy relative to the elements is -0.686 eV per atom. As for the density of states at the Fermi level: 32.6 states/eV per cell.

It has space group R-3 (No. 148, hexagonal axes), with a = 9.2194 Å, b = 9.2194 Å, c = 19.1354 Å, α = 90.00°, β = 90.00° and γ = 120.00°. The distinct sites, in fractional coordinates, are Sm at (0.0026, 0.7439, 0.0838), Er at (0.0000, 0.0000, 0.3328) and Bi at (0.0027, 0.6093, 0.9180).